DFT (PBE) results for an optimized crystal structure of MgVIN2.

Output
E_tot in eV/atom: -5.452

Cell: 3.8882 3.8882 5.5325 Å, 90.00 90.00 90.00°
Last column: nearest neighbours and their distance in Å.
Sites, in units of the cell vectors:
Mg: 0.0000 0.0000 0.0000  4 I 2.75
V: 0.5000 0.5000 0.5000  4 N 1.94
I: 0.5000 0.5000 0.0000  4 Mg 2.75, 2 V 2.77
N: 0.0000 0.5000 0.5000  2 V 1.94
N: 0.5000 0.0000 0.5000  2 V 1.94

---

DFT (PBE) results for an optimized crystal structure of MgVIN2.

Output
E_tot in eV/atom: -4.200

Cell: 4.0145 4.0145 5.4984 Å, 90.00 90.00 90.00°
Last column: nearest neighbours and their distance in Å.
Sites, in units of the cell vectors:
Mg: 0.0000 0.0000 0.0000  4 N 2.01
V: 0.5000 0.5000 0.5000  4 I 2.84
I: 0.0000 0.0000 0.5000  2 Mg 2.75, 4 V 2.84
N: 0.0000 0.5000 0.0000  2 Mg 2.01
N: 0.5000 0.0000 0.0000  2 Mg 2.01

---

Sequential formation energy from raw total energies output: 1.65 7.91 eV per formula unit
Sequential magnetization output: 0.0 1.7 Bohr magnetons per cell
Sequential excess energy over the best structure of this formula in the dataset output: 0 1252 meV/atom